The following is a PBE+U calculation of NaTl3V2O6 after structural relaxation, from the Alexandria database.

## Properties
total energy = -68.2 eV for the cell shown
symmetry = P-3m1

Structure (POSCAR):
```
NaTl3V2O6
1.0
6.4256 0.0000 0.0000
-3.2128 5.5647 0.0000
0.0000 0.0000 6.4818
O V Tl Na
6 2 3 1
direct
0.1792 0.8208 0.2827
0.3584 0.1792 0.7173
0.1792 0.3584 0.2827
0.6416 0.8208 0.2827
0.8208 0.1792 0.7173
0.8208 0.6416 0.7173
0.3333 0.6667 0.2690
0.6667 0.3333 0.7310
0.3333 0.6667 0.7476
0.0000 0.0000 0.0000
0.6667 0.3333 0.2524
0.0000 0.0000 0.5000
```